No. 1
A relaxed BaRhBr2 crystal, computed with PBE-GGA.

The formation energy from raw total energies comes out at -1.5 eV per formula unit. As for the density of states at the Fermi level: 9.04 states/eV/f.u. For the excess energy over the best structure of this formula in the dataset, the calculation gives 50.04 kJ/mol of atoms. The raw total energy is -3.52 eV/atom.

Lattice parameters (Å, degrees): 7.618 7.618 7.618 90.00 90.00 90.00
Space group F-43m (No. 216)
Inequivalent atoms, fractional coordinates:
Ba 0.000 0.000 0.000 (multiplicity 4)
Rh 0.250 0.250 0.750 (multiplicity 4)
Br 0.000 0.000 0.500 (multiplicity 4)
Br 0.250 0.250 0.250 (multiplicity 4)



No. 2
A relaxed Mn2Au crystal, computed with PBE-GGA.

The value obtained for the energy of formation is 76 kJ/mol of formula units. As for the density of states at the Fermi level: 2.67 states/eV/f.u. The raw total energy is -6.94 eV/atom.

Lattice parameters (Å, degrees): 7.6193 7.6193 2.9395 90.00 90.00 120.00
Space group P-62m (No. 189)
Inequivalent atoms, fractional coordinates:
Mn 0.0000 0.2958 0.0000 (multiplicity 3)
Mn 0.0000 0.6265 0.5000 (multiplicity 3)
Au 0.0000 0.0000 0.5000 (multiplicity 1)
Au 0.3333 0.6667 0.0000 (multiplicity 2)



No. 3
A relaxed DyErNp2Sb4 crystal, computed with PBE-GGA.

The formation energy from raw total energies comes out at -5.1 eV per formula unit. As for the density of states at the Fermi level: 21.99 states/eV/f.u. The raw total energy is -7.07 eV/atom.

Lattice parameters (Å, degrees): 7.596 4.364 7.619 90.00 109.17 90.00
Space group P2/m (No. 10)
Inequivalent atoms, fractional coordinates:
Dy 0.000 0.000 0.000 (multiplicity 1)
Er 0.000 0.500 0.500 (multiplicity 1)
Np 0.500 0.000 0.500 (multiplicity 1)
Np 0.500 0.500 0.000 (multiplicity 1)
Sb 0.247 0.000 0.748 (multiplicity 2)
Sb 0.248 0.500 0.250 (multiplicity 2)



No. 4
A relaxed Al2RePd crystal, computed with PBE-GGA.

The value obtained for the energy of formation is -169 kJ/mol of formula units. As for the density of states at the Fermi level: 1.52 states/eV/f.u. For the excess energy over the best structure of this formula in the dataset, the calculation gives 6.57 kJ/mol of atoms. The raw total energy is -6.72 eV/atom.

Lattice parameters (Å, degrees): 6.111 6.111 6.111 90.00 90.00 90.00
Space group Fm-3m (No. 225)
Inequivalent atoms, fractional coordinates:
Al 0.250 0.250 0.250 (multiplicity 8)
Re 0.000 0.000 0.000 (multiplicity 4)
Pd 0.000 0.000 0.500 (multiplicity 4)



No. 5
A relaxed Li7Pr3Hg4 crystal, computed with PBE-GGA.

The value obtained for the energy of formation is -376 kJ/mol of formula units. As for the density of states at the Fermi level: 10.29 states/eV/f.u. The raw total energy is -2.35 eV/atom.

Lattice parameters (Å, degrees): 16.457 4.926 9.311 90.00 123.77 90.00
Space group C2/m (No. 12)
Inequivalent atoms, fractional coordinates:
Li 0.000 0.000 0.000 (multiplicity 2)
Li 0.004 0.500 0.178 (multiplicity 4)
Li 0.142 0.000 0.938 (multiplicity 4)
Li 0.160 0.500 0.510 (multiplicity 4)
Pr 0.000 0.000 0.500 (multiplicity 2)
Pr 0.222 0.500 0.224 (multiplicity 4)
Hg 0.134 0.000 0.336 (multiplicity 4)
Hg 0.151 0.500 0.798 (multiplicity 4)



No. 6
A relaxed NiRhBr6 crystal, computed with PBE-GGA.

The formation energy from raw total energies comes out at -2.0 eV per formula unit. As for the density of states at the Fermi level: 8.05 states/eV/f.u. The raw total energy is -3.15 eV/atom.

Lattice parameters (Å, degrees): 6.603 11.454 6.611 90.00 115.01 90.00
Space group C2/m (No. 12)
Inequivalent atoms, fractional coordinates:
Ni 0.000 0.000 0.000 (multiplicity 2)
Rh 0.000 0.500 0.500 (multiplicity 2)
Br 0.222 0.500 0.273 (multiplicity 4)
Br 0.232 0.144 0.235 (multiplicity 8)



> Among the records above, which one has the lowest raw total energy?

DyErNp2Sb4



> Which of these has the lowest raw total energy?

DyErNp2Sb4



> raw total energy of number 4 (Al2RePd)?

-6.72 eV/atom